[1]
Computed, not measured: a PBEsol-optimized structure of LaTaIr2 at the meta-GGA SCAN level of DFT.

Structure (CIF):
```
data_LaTaIr2
_chemical_formula_sum 'La1 Ta1 Ir2'
_cell_length_a 3.117
_cell_length_b 3.117
_cell_length_c 7.695
_cell_angle_alpha 90.00
_cell_angle_beta 90.00
_cell_angle_gamma 90.00
_space_group_name_H-M_alt 'P 1'
_space_group_IT_number 1
_space_group_name_Hall 'P 1'
loop_
_atom_site_label
_atom_site_type_symbol
_atom_site_fract_x
_atom_site_fract_y
_atom_site_fract_z
Ir1 Ir 0.000 0.000 0.699
Ir2 Ir 0.000 0.000 0.301
Ta1 Ta 0.500 0.500 0.500
La1 La 0.500 0.500 0.000
```

Values from the calculation:
The crystal system is tetragonal. Its energy relative to the elements is -0.71 eV/atom. The electronic total energy comes out at -63.685 eV per atom.

---

[2]
Computed, not measured: a PBEsol-optimized structure of La2TaIr at the meta-GGA SCAN level of DFT.

Structure (CIF):
```
data_La2TaIr
_chemical_formula_sum 'La2 Ta1 Ir1'
_cell_length_a 3.252
_cell_length_b 3.252
_cell_length_c 9.139
_cell_angle_alpha 90.00
_cell_angle_beta 90.00
_cell_angle_gamma 90.00
_space_group_name_H-M_alt 'P 1'
_space_group_IT_number 1
_space_group_name_Hall 'P 1'
loop_
_atom_site_label
_atom_site_type_symbol
_atom_site_fract_x
_atom_site_fract_y
_atom_site_fract_z
Ir1 Ir 0.500 0.500 0.699
La1 La 0.000 0.000 0.939
La2 La 0.500 0.500 0.304
Ta1 Ta 0.000 0.000 0.558
```

Values from the calculation:
The crystal system is tetragonal. Its energy relative to the elements is -0.25 eV/atom. The excess energy over the best structure of this formula in the dataset is 0.0 meV/atom. The electronic total energy comes out at -56.228 eV per atom.

---

[3]
Computed, not measured: a PBEsol-optimized structure of LaTa2Ir at the meta-GGA SCAN level of DFT.

Structure (CIF):
```
data_LaTa2Ir
_chemical_formula_sum 'La1 Ta2 Ir1'
_cell_length_a 2.962
_cell_length_b 5.169
_cell_length_c 5.636
_cell_angle_alpha 103.79
_cell_angle_beta 105.24
_cell_angle_gamma 90.00
_space_group_name_H-M_alt 'P 1'
_space_group_IT_number 1
_space_group_name_Hall 'P 1'
loop_
_atom_site_label
_atom_site_type_symbol
_atom_site_fract_x
_atom_site_fract_y
_atom_site_fract_z
Ir1 Ir 0.500 0.000 0.000
La1 La 0.000 0.500 0.000
Ta1 Ta 0.212 0.194 0.424
Ta2 Ta 0.788 0.806 0.576
```

Values from the calculation:
The crystal system is monoclinic. Its energy relative to the elements is -0.01 eV/atom. The excess energy over the best structure of this formula in the dataset is 0.0 meV/atom. The electronic total energy comes out at -61.848 eV per atom.

---

[4]
Computed, not measured: a PBEsol-optimized structure of LaTaTcIr2 at the meta-GGA SCAN level of DFT.

Structure (CIF):
```
data_LaTaTcIr2
_chemical_formula_sum 'La1 Ta1 Tc1 Ir2'
_cell_length_a 4.670
_cell_length_b 4.795
_cell_length_c 4.795
_cell_angle_alpha 90.00
_cell_angle_beta 90.00
_cell_angle_gamma 90.00
_space_group_name_H-M_alt 'P 1'
_space_group_IT_number 1
_space_group_name_Hall 'P 1'
loop_
_atom_site_label
_atom_site_type_symbol
_atom_site_fract_x
_atom_site_fract_y
_atom_site_fract_z
Ir1 Ir 0.000 0.000 0.500
Ir2 Ir 0.000 0.500 0.000
La1 La 0.500 0.500 0.500
Tc1 Tc 0.000 0.000 0.000
Ta1 Ta 0.500 0.000 0.000
```

Values from the calculation:
The crystal system is tetragonal. Its energy relative to the elements is 0.53 eV/atom. The electronic total energy comes out at -56.857 eV per atom.

---

[5]
Computed, not measured: a PBEsol-optimized structure of LaTcIr at the meta-GGA SCAN level of DFT.

Structure (CIF):
```
data_LaTcIr
_chemical_formula_sum 'La1 Tc1 Ir1'
_cell_length_a 2.923
_cell_length_b 2.923
_cell_length_c 6.805
_cell_angle_alpha 102.40
_cell_angle_beta 102.40
_cell_angle_gamma 90.00
_space_group_name_H-M_alt 'P 1'
_space_group_IT_number 1
_space_group_name_Hall 'P 1'
loop_
_atom_site_label
_atom_site_type_symbol
_atom_site_fract_x
_atom_site_fract_y
_atom_site_fract_z
Ir1 Ir 0.976 0.976 0.953
La1 La 0.666 0.666 0.332
Tc1 Tc 0.358 0.358 0.716
```

Values from the calculation:
The crystal system is tetragonal. Its energy relative to the elements is 0.00 eV/atom. The excess energy over the best structure of this formula in the dataset is 0.0 meV/atom. The electronic total energy comes out at -49.755 eV per atom.

---

[6]
Computed, not measured: a PBEsol-optimized structure of LaTc2Ir at the meta-GGA SCAN level of DFT.

Structure (CIF):
```
data_LaTc2Ir
_chemical_formula_sum 'La1 Tc2 Ir1'
_cell_length_a 4.605
_cell_length_b 4.605
_cell_length_c 4.605
_cell_angle_alpha 60.00
_cell_angle_beta 60.00
_cell_angle_gamma 60.00
_space_group_name_H-M_alt 'P 1'
_space_group_IT_number 1
_space_group_name_Hall 'P 1'
loop_
_atom_site_label
_atom_site_type_symbol
_atom_site_fract_x
_atom_site_fract_y
_atom_site_fract_z
Ir1 Ir 0.500 0.500 0.500
La1 La 0.250 0.250 0.250
Tc1 Tc 0.000 0.000 0.000
Tc2 Tc 0.750 0.750 0.750
```

Values from the calculation:
The crystal system is cubic. Its energy relative to the elements is 0.40 eV/atom. The electronic total energy comes out at -45.677 eV per atom.